Compound: KLaHfFeO6
Source: Alexandria
Functional: PBE+U
Structure: optimized geometry

Cell: 5.678 5.678 5.678 Å, 60.00 60.00 60.00°
Element x y z (fractional)
K: 0.000 0.000 0.000
La: 0.500 0.500 0.500
Hf: 0.250 0.250 0.250
Fe: 0.750 0.750 0.750
O: 0.505 0.505 0.995
O: 0.505 0.995 0.505
O: 0.505 0.995 0.995
O: 0.995 0.505 0.505
O: 0.995 0.505 0.995
O: 0.995 0.995 0.505

Summary:
SG   No. 216
V   12.94 Å³ per atom
Total energy   -7.595 eV per atom